Density functional theory data (PBE-GGA) for a geometry-optimized LiSiIr structure.

Formation energy (no corrections), eV per atom: -0.4518

Cell: 3.9506 3.9506 3.9506 Å, 119.98 119.92 90.08°
Last column: nearest neighbours and their distance in Å.
Positions (direct):
Li1 0.0000 0.0000 0.0000  4 Si 2.42
Si1 0.2503 0.7503 0.5000  4 Ir 2.42, 4 Li 2.42
Ir1 0.5004 0.5004 0.0000  4 Si 2.42